The following is a PBE calculation of a geometry-optimized PuZnPd structure, from Alexandria.

Properties
Fermi-level density of states: 51.0 states/eV per cell
Magnetic moment: 23.1 μB/cell
E: -85.51 eV/cell
ΔE_f: -193 meV/atom

Cell and atoms, written as POSCAR:
```
PuZnPd
1.0
6.5498 0.0000 0.0000
0.0000 6.5498 0.0000
0.0000 0.0000 6.5498
Pu Zn Pd
4 4 4
Cartesian
0.0000 0.0000 0.0000
0.0000 3.2749 3.2749
3.2749 0.0000 3.2749
3.2749 3.2749 0.0000
0.0000 0.0000 3.2749
0.0000 3.2749 0.0000
3.2749 0.0000 0.0000
3.2749 3.2749 3.2749
1.6374 1.6374 1.6374
1.6374 4.9123 4.9123
4.9123 1.6374 4.9123
4.9123 4.9123 1.6374
```